Entry 1:
5
Lattice="-1.8243 -3.8054 2.0151 2.8119 0.7650 3.9903 -3.3851 2.6200 1.8832" Properties=species:S:1:pos:R:3 comment="PBE Mn2NbPdSe, relaxed" e_form_raw_ev_per_atom=1.18 pbc="T T T"
Nb 0.0000 0.0000 0.0000
Mn -1.6926 1.3100 0.9416
Mn -0.9121 -1.9027 1.0075
Se -1.1987 -0.2102 3.9443
Pd 1.4060 0.3825 1.9952

Entry 2:
8
Lattice="9.7607 0.0000 0.0000 0.0000 9.7607 0.0000 4.8803 4.8803 4.0369" Properties=species:S:1:pos:R:3 comment="PBE Ba2NaHg, relaxed" delta_e_f_ev_per_fu=-0.30 pbc="T T T"
Na 4.8803 4.8803 0.0000
Na 4.8803 9.7607 2.0184
Hg 0.0000 0.0000 0.0000
Hg 9.7607 4.8803 2.0184
Ba 7.6797 2.4402 1.0092
Ba 2.0810 7.3205 1.0092
Ba 7.3205 6.9614 3.0276
Ba 12.2009 12.5600 3.0276

Entry 3:
4
Lattice="4.6519 -0.2418 0.0000 1.2216 4.4952 0.0000 -2.9368 -2.1267 2.9243" Properties=species:S:1:pos:R:3 comment="PBE InFeIr2, relaxed" delta_e_f_ev_per_fu=0.10 pbc="T T T"
Fe 0.6108 2.2476 1.4621
In 2.3260 -0.1209 1.4621
Ir 0.0000 0.0000 0.0000
Ir 2.9368 2.1267 0.0000

Entry 4:
12
Lattice="-0.0576 5.3193 -0.4937 -3.9801 -2.9303 -2.0286 -1.2341 -0.3998 5.3029" Properties=species:S:1:pos:R:3 comment="PBE Mg2TaNb3N6, relaxed" e_form_raw_ev_per_atom=-1.06 pbc="T T T"
Mg -2.6660 -0.1665 -1.5143
Mg -1.3717 2.5555 -1.0079
Ta 0.0000 0.0000 0.0000
Nb -3.8817 -1.6256 0.9028
Nb -1.3900 3.6148 1.8778
Nb -2.6359 0.9946 1.3903
N -3.3483 2.8562 2.4205
N -3.3566 1.6993 -0.5552
N -1.9235 -0.8670 0.3602
N -4.6416 0.1363 1.9144
N -1.9152 0.2900 3.3359
N -0.6302 1.8530 0.8663

Entry 5:
4
Lattice="1.8108 0.0000 8.3399 -0.9054 1.5682 8.3399 -0.9054 -1.5682 8.3399" Properties=species:S:1:pos:R:3 comment="PBE TeAuF2, relaxed" e_form_raw_ev_per_atom=-0.65 de_polymorph_ev_per_fu=0.63 pbc="T T T"
Te 0.0000 0.0000 12.5098
Au 0.0000 0.0000 0.0000
F 0.0000 0.0000 22.9292
F 0.0000 0.0000 2.0904

Entry 6:
8
Lattice="-0.7087 -1.3903 3.0606 4.8457 -3.4335 -0.4377 1.4340 5.1127 2.6545" Properties=species:S:1:pos:R:3 comment="PBE Tm2PuNpN4, relaxed" e_form_raw_ev_per_atom=-1.48 pbc="T T T"
Tm 0.3627 1.8612 2.8576
Tm 3.1399 0.8396 1.1084
Pu 0.0000 0.0000 0.0000
Np 2.0685 -2.4119 1.3115
N 1.2331 -0.3073 2.0741
N 4.3380 0.5962 3.2034
N 2.3146 2.9710 1.8855
N 3.9652 -1.2918 0.3314

Entry 7:
12
Lattice="-4.1688 0.2923 -0.6765 -0.9007 -0.8589 5.1795 0.3805 9.0544 1.5676" Properties=species:S:1:pos:R:3 comment="PBE CeTmZn10, relaxed" delta_e_f_ev_per_fu=-2.99 pbc="T T T"
Ce 0.0000 0.0000 0.0000
Tm -0.2601 4.0977 3.3736
Zn 0.1292 3.0734 0.5321
Zn -0.1358 7.0547 3.8855
Zn -0.3843 1.1408 2.8616
Zn 0.2514 5.9810 1.0355
Zn -1.8941 4.6734 0.4456
Zn -2.5347 -0.2833 2.2515
Zn -2.2135 2.2007 1.3455
Zn -2.4754 6.2871 4.7252
Zn -2.6653 1.7700 3.9431
Zn -2.0237 6.7178 2.1276

Entry 8:
4
Lattice="-3.9163 -1.1001 3.5489 -1.7919 -5.0615 0.5595 1.1269 -2.7818 4.4871" Properties=species:S:1:pos:R:3 comment="PBE CaTe2Se, relaxed" e_form_raw_ev_per_atom=-0.38 pbc="T T T"
Ca -2.2907 -4.4717 4.2977
Te 0.0000 0.0000 0.0000
Te -1.1453 -2.2358 2.1488
Se -3.4360 -6.7075 6.4465